# Sr6Se5F

An optimized crystal structure of Sr6Se5F (PBE, Alexandria).

Lattice parameters (Å, degrees): 7.5800 13.1323 7.5821 90.00 109.43 90.00
Space group C2/m (No. 12)
Asymmetric unit:
Sr (0.2470, 0.0000, 0.2513)
Sr (0.2487, 0.1653, 0.7494)
Se (0.0000, 0.1669, 0.0000)
Se (0.0000, 0.3331, 0.5000)
Se (0.0000, 0.5000, 0.0000)
F (0.0000, 0.0000, 0.5000)


# SrSe3F

An optimized crystal structure of SrSe3F (PBE, Alexandria).

Lattice parameters (Å, degrees): 4.8164 4.8164 4.8164 90.00 90.00 90.00
Space group Pm-3m (No. 221)
Asymmetric unit:
Sr (0.0000, 0.0000, 0.0000)
Se (0.0000, 0.5000, 0.5000)
F (0.5000, 0.5000, 0.5000)

Energy above the most stable polymorph in this dataset, kJ/mol of formula units: 0


no.,uncorrected formation energy (meV per atom)
1,-2106.3
2,-663.2